[1]
LaTiGe3: optimized geometry, PBEsol.

Computed properties:
E_form = -0.4052 eV/atom
E above lowest polymorph = 373.0 meV/atom
crystal system = cubic
symmetry = Pm-3m, No. 221
total magnetization = 0.0 μB/cell
ρ = 6.1 g/cm³

abc: 4.805 4.805 4.805
angles: 90.00 90.00 90.00
Sites, in units of the cell vectors:
1 La 0.000 0.000 0.000
2 Ti 0.500 0.500 0.500
3 Ge 0.000 0.500 0.500
4 Ge 0.500 0.000 0.500
5 Ge 0.500 0.500 0.000

[2]
LaTiGe: optimized geometry, PBEsol.

Computed properties:
E_form = -0.6408 eV/atom
crystal system = tetragonal
symmetry = P4/nmm, No. 129
total magnetization = 0.2 μB/cell
ρ = 6.5 g/cm³

abc: 4.120 4.120 7.869
angles: 90.00 90.00 90.00
Sites, in units of the cell vectors:
1 La 0.250 0.250 0.148
2 La 0.750 0.750 0.852
3 Ti 0.250 0.750 0.500
4 Ti 0.750 0.250 0.500
5 Ge 0.250 0.250 0.718
6 Ge 0.750 0.750 0.282

[3]
LaTiGe3: optimized geometry, PBEsol.

Computed properties:
E_form = 1.2380 eV/atom
E above lowest polymorph = 2016.2 meV/atom
crystal system = cubic
symmetry = Pm-3m, No. 221
total magnetization = 1.8 μB/cell
ρ = 4.3 g/cm³

abc: 5.367 5.367 5.367
angles: 90.00 90.00 90.00
Sites, in units of the cell vectors:
1 La 0.000 0.000 0.000
2 Ti 0.500 0.500 0.500
3 Ge 0.000 0.000 0.500
4 Ge 0.000 0.500 0.000
5 Ge 0.500 0.000 0.000

[4]
LaVGe3: optimized geometry, PBEsol.

Computed properties:
E_form = -0.6357 eV/atom
crystal system = hexagonal
symmetry = P6_3/mmc, No. 194
total magnetization = 0.0 μB/cell
ρ = 7.3 g/cm³

abc: 6.220 6.220 5.570
angles: 90.00 90.00 120.00
Sites, in units of the cell vectors:
1 La 0.333 0.667 0.250
2 La 0.667 0.333 0.750
3 V 0.000 0.000 0.000
4 V 0.000 0.000 0.500
5 Ge 0.194 0.387 0.750
6 Ge 0.194 0.806 0.750
7 Ge 0.387 0.194 0.250
8 Ge 0.613 0.806 0.750
9 Ge 0.806 0.194 0.250
10 Ge 0.806 0.613 0.250

[5]
La2YGe2: optimized geometry, PBEsol.

Computed properties:
E_form = -0.7967 eV/atom
crystal system = tetragonal
symmetry = P4/mbm, No. 127
total magnetization = 0.5 μB/cell
ρ = 6.4 g/cm³

abc: 7.993 7.993 4.166
angles: 90.00 90.00 90.00
Sites, in units of the cell vectors:
1 La 0.140 0.360 0.000
2 La 0.360 0.860 0.000
3 La 0.640 0.140 0.000
4 La 0.860 0.640 0.000
5 Y 0.000 0.000 0.500
6 Y 0.500 0.500 0.500
7 Ge 0.163 0.663 0.500
8 Ge 0.337 0.163 0.500
9 Ge 0.663 0.837 0.500
10 Ge 0.837 0.337 0.500

[6]
LaYGe3: optimized geometry, PBEsol.

Computed properties:
E_form = 0.4993 eV/atom
crystal system = cubic
symmetry = Pm-3m, No. 221
total magnetization = 0.0 μB/cell
ρ = 4.9 g/cm³

abc: 5.333 5.333 5.333
angles: 90.00 90.00 90.00
Sites, in units of the cell vectors:
1 La 0.000 0.000 0.000
2 Y 0.500 0.500 0.500
3 Ge 0.000 0.000 0.500
4 Ge 0.000 0.500 0.000
5 Ge 0.500 0.000 0.000